(1)
First-principles (PBE) data for an optimized crystal structure of SrZrW2, as listed in Alexandria via LeMat-Bulk.

Results
ΔH_f (0 K)	1.088	eV/atom
total DFT energy (no corrections)	-7.95	eV per atom
volume	81.8	Å³ per cell
E above lowest polymorph	570	meV/atom

a b c (Å): 5.8686 5.8686 5.8686
angles (deg): 146.90 131.59 59.90
With the nearest neighbours (Å) after each atom.
Fractional coordinates of all 4 atoms:
Sr 0.2500 0.7500 0.5000  4 Zr 2.93, 4 W 3.13
W 0.9898 0.9898 0.0000  4 W 2.94, 2 Zr 2.96, 2 Sr 3.13
W 0.5102 0.5102 0.0000  4 W 2.94, 2 Zr 2.96, 2 Sr 3.13
Zr 0.7500 0.2500 0.5000  4 Sr 2.93, 4 W 2.96

=====

(2)
First-principles (PBE) data for an optimized crystal structure of RbPd2Pb2, as listed in Alexandria via LeMat-Bulk.

Results
ΔH_f (0 K)	-0.225	eV/atom
total DFT energy (no corrections)	-3.98	eV per atom
volume	144.3	Å³ per cell
E above lowest polymorph	0	meV/atom

a b c (Å): 5.0489 5.0489 6.6914
angles (deg): 67.84 67.84 90.00
With the nearest neighbours (Å) after each atom.
Fractional coordinates of all 5 atoms:
Pb 0.3493 0.3493 0.3015  4 Pd 2.76
Pb 0.6507 0.6507 0.6985  4 Pd 2.76
Rb 0.0000 0.0000 0.0000  8 Pd 3.79, 10 Pb 3.95-3.96
Pd 0.7500 0.2500 0.5000  4 Pb 2.76
Pd 0.2500 0.7500 0.5000  4 Pb 2.76

=====

(3)
First-principles (PBE) data for an optimized crystal structure of BaCaTe4, as listed in Alexandria via LeMat-Bulk.

Results
total DFT energy (no corrections)	-3.17	eV per atom
volume	209.4	Å³ per cell
E above lowest polymorph	687	meV/atom
ΔE_f (raw)	-0.4258	eV per atom

a b c (Å): 6.6659 6.6659 6.6659
angles (deg): 60.00 60.00 60.00
With the nearest neighbours (Å) after each atom.
Fractional coordinates of all 6 atoms:
Ba 0.7500 0.7500 0.7500  12 Te 3.91, 4 Ca 4.08
Ca 0.0000 0.0000 0.0000  12 Te 3.91, 4 Ba 4.08
Te 0.8765 0.3745 0.3745  6 Te 3.32-3.35
Te 0.3745 0.3745 0.8765  6 Te 3.32-3.35
Te 0.3745 0.8765 0.3745  6 Te 3.32-3.35
Te 0.3745 0.3745 0.3745  6 Te 3.32-3.35

=====

(4)
First-principles (PBE) data for an optimized crystal structure of Ac2La5Pr4, as listed in Alexandria via LeMat-Bulk.

Results
ΔH_f (0 K)	0.019	eV/atom
total DFT energy (no corrections)	-4.71	eV per atom
volume	418.5	Å³ per cell
E above lowest polymorph	0	meV/atom

a b c (Å): 3.7792 11.2942 14.5961
angles (deg): 136.83 97.44 90.00
With the nearest neighbours (Å) after each atom.
Fractional coordinates of all 11 atoms:
Ac 0.5922 0.7303 0.1845  5 La 3.73-3.82, 3 Ac 3.78-3.84, 4 Pr 3.84-3.86
Ac 0.4078 0.2697 0.8155  5 La 3.73-3.82, 3 Ac 3.78-3.84, 4 Pr 3.84-3.86
La 0.1355 0.0965 0.2711  4 Pr 3.71-3.80, 6 La 3.72-3.78, 2 Ac 3.82
La 0.8645 0.9035 0.7289  4 Pr 3.71-3.80, 6 La 3.72-3.78, 2 Ac 3.82
La 0.2296 0.8182 0.4592  3 Ac 3.73-3.82, 3 Pr 3.74-3.80, 6 La 3.77-3.83
La 0.5000 0.0000 0.0000  6 Pr 3.71-3.79, 6 La 3.72-3.78
La 0.7704 0.1818 0.5408  3 Ac 3.73-3.82, 3 Pr 3.74-3.80, 6 La 3.77-3.83
Pr 0.6825 0.4553 0.3651  6 La 3.71-3.79, 6 Pr 3.72-3.78
Pr 0.0473 0.3597 0.0946  4 La 3.71-3.80, 4 Pr 3.72-3.78, 4 Ac 3.84-3.86
Pr 0.3175 0.5447 0.6349  6 La 3.71-3.79, 6 Pr 3.72-3.78
Pr 0.9527 0.6403 0.9054  4 La 3.71-3.80, 4 Pr 3.72-3.78, 4 Ac 3.84-3.86

=====

(5)
First-principles (PBE) data for an optimized crystal structure of RbSb2W, as listed in Alexandria via LeMat-Bulk.

Results
total DFT energy (no corrections)	-5.15	eV per atom
volume	367.1	Å³ per cell
E above lowest polymorph	0	meV/atom
ΔE_f (raw)	0.3939	eV per atom

a b c (Å): 7.0723 7.0723 8.8807
angles (deg): 66.54 66.54 90.00
With the nearest neighbours (Å) after each atom.
Fractional coordinates of all 8 atoms:
Sb 0.8732 0.1250 0.2500  2 W 2.55
Sb 0.8768 0.6250 0.2500  2 W 2.55
Sb 0.3750 0.1268 0.7500  2 W 2.55
Sb 0.8750 0.1232 0.7500  2 W 2.55
Rb 0.5000 0.5000 0.0000  8 Sb 4.35-4.37
Rb 0.2500 0.7500 0.5000  8 Sb 4.35-4.37
W 0.0000 0.0000 0.0000  4 Sb 2.55
W 0.7500 0.2500 0.5000  4 Sb 2.55

=====

(6)
First-principles (PBE) data for an optimized crystal structure of TiCu2BiN, as listed in Alexandria via LeMat-Bulk.

Results
total DFT energy (no corrections)	-5.17	eV per atom
volume	80.7	Å³ per cell
ΔE_f (raw)	0.4904	eV per atom

a b c (Å): 3.9025 5.2960 3.9025
angles (deg): 90.00 90.00 90.00
With the nearest neighbours (Å) after each atom.
Fractional coordinates of all 5 atoms:
N 0.0000 0.0000 0.0000  4 Cu 1.95
Bi 0.0000 0.5000 0.0000  2 N 2.65, 4 Ti 2.76
Cu 0.0000 0.0000 0.5000  2 N 1.95
Cu 0.5000 0.0000 0.0000  2 N 1.95
Ti 0.5000 0.5000 0.5000  4 Bi 2.76